Entry 1:
Density functional theory data (SCAN) for a PBEsol-optimized structure of KTlBr2.

Calculated values
Size of the total moment in μB per atom: 0.000
Energy relative to the elements, uncorrected in meV/atom: -1402

a = 4.503 Å, b = 4.503 Å, c = 8.369 Å
α = 74.40°, β = 74.40°, γ = 60.00°
Sites, in units of the cell vectors:
Tl (0.249, 0.249, 0.252)
K (0.417, 0.417, 0.748)
Br (0.002, 0.002, 0.995)
Br (0.832, 0.832, 0.505)

***

Entry 2:
Density functional theory data (SCAN) for a PBEsol-optimized structure of KTlBr2.

Calculated values
Size of the total moment in μB per atom: 0.000
Energy relative to the elements, uncorrected in meV/atom: -1398

a = 5.534 Å, b = 5.534 Å, c = 5.534 Å
α = 60.00°, β = 60.00°, γ = 60.00°
Sites, in units of the cell vectors:
Tl (0.500, 0.500, 0.500)
K (0.000, 0.000, 0.000)
Br (0.250, 0.250, 0.250)
Br (0.750, 0.750, 0.750)

***

Entry 3:
Density functional theory data (SCAN) for a PBEsol-optimized structure of KTlBr2.

Calculated values
Size of the total moment in μB per atom: 0.000
Energy relative to the elements, uncorrected in meV/atom: -1397

a = 3.915 Å, b = 3.915 Å, c = 7.823 Å
α = 90.00°, β = 90.04°, γ = 90.00°
Sites, in units of the cell vectors:
Tl (0.500, 0.500, 0.500)
K (0.500, 0.500, 0.000)
Br (0.001, 0.000, 0.752)
Br (0.999, 0.000, 0.248)

***

Entry 4:
Density functional theory data (SCAN) for a PBEsol-optimized structure of KTlBr2.

Calculated values
Size of the total moment in μB per atom: 0.000
Energy relative to the elements, uncorrected in meV/atom: -1421

a = 4.615 Å, b = 4.615 Å, c = 8.047 Å
α = 73.34°, β = 73.34°, γ = 60.00°
Sites, in units of the cell vectors:
Tl (0.500, 0.500, 0.500)
K (0.000, 0.000, 0.000)
Br (0.749, 0.749, 0.754)
Br (0.251, 0.251, 0.246)

***

Entry 5:
Density functional theory data (SCAN) for a PBEsol-optimized structure of K3TlBr6.

Calculated values
Size of the total moment in μB per atom: 0.000
Energy relative to the elements, uncorrected in meV/atom: -1290

a = 8.128 Å, b = 8.128 Å, c = 8.128 Å
α = 60.00°, β = 60.00°, γ = 60.00°
Sites, in units of the cell vectors:
K (0.750, 0.750, 0.750)
K (0.250, 0.250, 0.250)
K (0.500, 0.500, 0.500)
Tl (0.000, 0.000, 0.000)
Br (0.763, 0.237, 0.237)
Br (0.763, 0.763, 0.237)
Br (0.237, 0.763, 0.763)
Br (0.763, 0.237, 0.763)
Br (0.237, 0.763, 0.237)
Br (0.237, 0.237, 0.763)

***

Entry 6:
Density functional theory data (SCAN) for a PBEsol-optimized structure of KTlBr2.

Calculated values
Size of the total moment in μB per atom: 0.000
Energy relative to the elements, uncorrected in meV/atom: -1401

a = 3.913 Å, b = 5.520 Å, c = 5.525 Å
α = 90.00°, β = 90.00°, γ = 90.00°
Sites, in units of the cell vectors:
Tl (0.500, 0.000, 0.500)
K (0.500, 0.500, 0.000)
Br (0.000, 0.000, 0.000)
Br (0.000, 0.500, 0.500)

***

Entry 7:
Density functional theory data (SCAN) for a PBEsol-optimized structure of K2YTlBr6.

Calculated values
Size of the total moment in μB per atom: 0.000
Energy relative to the elements, uncorrected in meV/atom: -1725

a = 8.249 Å, b = 8.249 Å, c = 8.249 Å
α = 60.00°, β = 60.00°, γ = 60.00°
Sites, in units of the cell vectors:
Y (0.000, 0.000, 0.000)
K (0.750, 0.750, 0.750)
K (0.250, 0.250, 0.250)
Tl (0.500, 0.500, 0.500)
Br (0.764, 0.236, 0.236)
Br (0.764, 0.764, 0.236)
Br (0.236, 0.764, 0.764)
Br (0.764, 0.236, 0.764)
Br (0.236, 0.764, 0.236)
Br (0.236, 0.236, 0.764)

***

Entry 8:
Density functional theory data (SCAN) for a PBEsol-optimized structure of K2UBr5.

Calculated values
Size of the total moment in μB per atom: 0.375
Energy relative to the elements, uncorrected in meV/atom: -1778

a = 8.368 Å, b = 8.957 Å, c = 13.306 Å
α = 90.00°, β = 90.00°, γ = 90.00°
Site moments in Bohr magnetons follow the coordinates.
Sites, in units of the cell vectors:
K (0.554, 0.495, 0.673)  0.00
K (0.054, 0.505, 0.827)  0.00
K (0.446, 0.995, 0.327)  0.00
K (0.946, 0.005, 0.173)  0.00
K (0.446, 0.505, 0.327)  0.00
K (0.946, 0.495, 0.173)  0.00
K (0.554, 0.005, 0.673)  0.00
K (0.054, 0.995, 0.827)  0.00
U (0.073, 0.250, 0.504)  2.89
U (0.427, 0.250, 0.004)  2.89
U (0.927, 0.750, 0.496)  2.89
U (0.573, 0.750, 0.996)  2.89
Br (0.427, 0.250, 0.506)  -0.01
Br (0.667, 0.046, 0.920)  -0.01
Br (0.167, 0.954, 0.580)  -0.01
Br (0.333, 0.546, 0.080)  -0.01
Br (0.927, 0.750, 0.994)  -0.01
Br (0.334, 0.250, 0.792)  -0.01
Br (0.073, 0.250, 0.006)  -0.01
Br (0.573, 0.750, 0.494)  -0.01
Br (0.871, 0.250, 0.682)  -0.01
Br (0.834, 0.750, 0.708)  -0.01
Br (0.666, 0.750, 0.208)  -0.01
Br (0.166, 0.250, 0.292)  -0.01
Br (0.333, 0.954, 0.080)  -0.01
Br (0.371, 0.750, 0.818)  -0.01
Br (0.129, 0.750, 0.318)  -0.01
Br (0.629, 0.250, 0.182)  -0.01
Br (0.167, 0.546, 0.580)  -0.01
Br (0.667, 0.454, 0.920)  -0.01
Br (0.833, 0.046, 0.420)  -0.01
Br (0.833, 0.454, 0.420)  -0.01